AcNd12Ho5: relaxed, PBE.

Unit cell a=15.501 b=10.972 c=5.167 alpha=89.99 beta=89.99 gamma=45.06
Fractional positions:
Ho (0.171, 0.659, 0.500)
Ho (0.829, 0.341, 0.500)
Ho (0.500, 0.000, 0.500)
Ho (0.667, 0.667, 0.000)
Ho (0.333, 0.333, 0.000)
Nd (0.830, 0.668, 0.500)
Nd (0.170, 0.000, 0.500)
Nd (0.664, 0.338, 0.000)
Nd (0.336, 0.000, 0.000)
Nd (0.002, 0.662, 0.000)
Nd (0.498, 0.332, 0.500)
Nd (0.830, 0.000, 0.500)
Nd (0.336, 0.662, 0.000)
Nd (0.664, 0.000, 0.000)
Nd (0.998, 0.338, 0.000)
Nd (0.502, 0.668, 0.500)
Nd (0.170, 0.332, 0.500)
Ac (0.000, 0.000, 0.000)

Output
Density in g/cm3: 7.4
Size of the total moment in Bohr magnetons per cell: 0.00
Formation energy from the elements in eV per atom: 0.02
SG: Cmmm
Final energy in eV/atom: -4.65

ZnBi2Pt2: relaxed, PBE.

Unit cell a=3.920 b=3.920 c=8.348 alpha=76.42 beta=76.42 gamma=90.00
Fractional positions:
Bi (0.621, 0.621, 0.759)
Bi (0.379, 0.379, 0.241)
Pt (0.250, 0.750, 0.500)
Pt (0.750, 0.250, 0.500)
Zn (0.000, 0.000, 0.000)

Output
Relative energy among the computed polymorphs in meV/atom: 137.1
Density in g/cm3: 12.0
Size of the total moment in Bohr magnetons per cell: 0.00
Formation energy from the elements in eV per atom: 0.00
SG: I4/mmm
Final energy in eV/atom: -4.22

Ce3SmSb2: relaxed, PBE.

Unit cell a=4.166 b=10.727 c=9.480 alpha=124.50 beta=90.00 gamma=101.20
Each line ends with the local moment (μB).
Fractional positions:
Ce (0.367, 0.734, 0.224)  0.65
Ce (0.296, 0.592, 0.516)  0.47
Ce (0.930, 0.860, 0.476)  0.53
Ce (0.633, 0.266, 0.776)  0.65
Ce (0.704, 0.408, 0.484)  0.47
Ce (0.070, 0.140, 0.524)  0.53
Sb (0.261, 0.522, 0.804)  -0.01
Sb (0.739, 0.478, 0.196)  -0.01
Sb (0.521, 0.042, 0.214)  0.00
Sb (0.479, 0.958, 0.786)  0.00
Sm (0.899, 0.798, 0.916)  0.01
Sm (0.101, 0.202, 0.084)  0.01

Output
Density in g/cm3: 8.0
Size of the total moment in Bohr magnetons per cell: 3.84
Energy relative to the elements, uncorrected in eV/atom: -0.660
SG: C2/m
Final energy in eV/atom: -5.79

Mg5InSn4: relaxed, PBE.

Unit cell a=3.728 b=3.728 c=17.357 alpha=90.00 beta=90.00 gamma=90.00
Fractional positions:
Sn (0.000, 0.000, 0.800)
Sn (0.000, 0.000, 0.400)
Sn (0.000, 0.000, 0.600)
Sn (0.000, 0.000, 0.200)
Mg (0.500, 0.500, 0.902)
Mg (0.500, 0.500, 0.098)
Mg (0.500, 0.500, 0.500)
Mg (0.500, 0.500, 0.701)
Mg (0.500, 0.500, 0.299)
In (0.000, 0.000, 0.000)

Output
Density in g/cm3: 4.9
Size of the total moment in Bohr magnetons per cell: 0.00
Formation energy from the elements in eV per atom: -0.09
SG: P4/mmm
Final energy in eV/atom: -2.76

Pm2NiP: relaxed, PBE.

Unit cell a=3.561 b=3.561 c=6.873 alpha=90.00 beta=90.00 gamma=90.00
Fractional positions:
Pm (0.000, 0.000, 0.255)
Pm (0.000, 0.000, 0.745)
P (0.500, 0.500, 0.500)
Ni (0.500, 0.500, 0.000)

Output
Relative energy among the computed polymorphs in meV/atom: 88.1
Density in g/cm3: 7.2
Size of the total moment in Bohr magnetons per cell: 0.00
Formation energy from the elements in eV per atom: -0.66
SG: P4/mmm
Final energy in eV/atom: -5.84

Mg2ScTc: relaxed, PBE.

Unit cell a=10.329 b=10.329 c=10.329 alpha=16.42 beta=16.42 gamma=16.42
Fractional positions:
Tc (0.750, 0.750, 0.750)
Sc (0.250, 0.250, 0.250)
Mg (0.009, 0.009, 0.009)
Mg (0.491, 0.491, 0.491)

Output
Relative energy among the computed polymorphs in meV/atom: 250.5
Density in g/cm3: 4.1
Size of the total moment in Bohr magnetons per cell: 0.04
Formation energy from the elements in eV per atom: 0.27
SG: R-3m
Final energy in eV/atom: -4.70

Ba2Mg3ZnPb4: relaxed, PBE.

Unit cell a=4.986 b=4.986 c=12.275 alpha=90.00 beta=90.00 gamma=90.00
Fractional positions:
Mg (0.500, 0.000, 0.863)
Mg (0.000, 0.000, 0.500)
Mg (0.000, 0.500, 0.137)
Pb (0.500, 0.500, 0.000)
Pb (0.000, 0.000, 0.000)
Pb (0.500, 0.000, 0.628)
Pb (0.000, 0.500, 0.372)
Zn (0.500, 0.500, 0.500)
Ba (0.500, 0.000, 0.258)
Ba (0.000, 0.500, 0.742)

Output
Density in g/cm3: 6.8
Size of the total moment in Bohr magnetons per cell: 0.00
Formation energy from the elements in eV per atom: -0.34
SG: P-4m2
Final energy in eV/atom: -2.81

PuU3As4: relaxed, PBE.

Unit cell a=4.051 b=7.114 c=7.114 alpha=109.00 beta=90.00 gamma=90.00
Each line ends with the local moment (μB).
Fractional positions:
U (0.000, 0.500, 0.000)  2.10
U (0.000, 0.000, 0.500)  2.10
U (0.500, 0.500, 0.500)  2.08
As (0.500, 0.251, 0.749)  -0.05
As (0.000, 0.748, 0.748)  -0.02
As (0.000, 0.252, 0.252)  -0.02
As (0.500, 0.749, 0.251)  -0.05
Pu (0.500, 0.000, 0.000)  -5.14

Output
Density in g/cm3: 10.8
Size of the total moment in Bohr magnetons per cell: 1.45
Formation energy from the elements in eV per atom: -0.79
SG: Cmmm
Final energy in eV/atom: -9.14

Ba2CaPdPb: relaxed, PBE.

Unit cell a=6.084 b=6.084 c=5.571 alpha=90.00 beta=90.00 gamma=90.00
Fractional positions:
Ba (0.000, 0.500, 0.000)
Ba (0.500, 0.000, 0.000)
Pb (0.500, 0.500, 0.500)
Pd (0.000, 0.000, 0.000)
Ca (0.000, 0.000, 0.500)

Output
Density in g/cm3: 5.1
Size of the total moment in Bohr magnetons per cell: 0.00
Formation energy from the elements in eV per atom: -0.38
SG: P4/mmm
Final energy in eV/atom: -3.33

RbNpAg2Cl8: relaxed, PBE.

Unit cell a=6.291 b=7.264 c=9.780 alpha=66.99 beta=84.96 gamma=95.30
Each line ends with the local moment (μB).
Fractional positions:
Cl (0.669, 0.737, 0.044)  -0.06
Cl (0.805, 0.166, 0.146)  -0.07
Cl (0.880, 0.235, 0.754)  -0.05
Cl (0.331, 0.263, 0.956)  -0.06
Cl (0.195, 0.834, 0.854)  -0.07
Cl (0.512, 0.733, 0.543)  -0.04
Cl (0.120, 0.765, 0.246)  -0.05
Cl (0.488, 0.267, 0.457)  -0.04
Rb (0.000, 0.000, 0.500)  0.00
Np (0.000, 0.000, 0.000)  2.66
Ag (0.542, 0.660, 0.314)  -0.07
Ag (0.458, 0.340, 0.686)  -0.07

Output
Density in g/cm3: 3.4
Size of the total moment in Bohr magnetons per cell: 2.02
Energy relative to the elements, uncorrected in eV/atom: -1.207
SG: P-1
Final energy in eV/atom: -4.07

PmGa6Rh2: relaxed, PBE.

Unit cell a=8.322 b=8.322 c=8.322 alpha=60.00 beta=60.00 gamma=60.00
Fractional positions:
Rh (0.125, 0.625, 0.125)
Rh (0.125, 0.125, 0.625)
Rh (0.625, 0.125, 0.125)
Rh (0.125, 0.125, 0.125)
Ga (0.486, 0.014, 0.486)
Ga (0.014, 0.486, 0.486)
Ga (0.014, 0.014, 0.486)
Ga (0.764, 0.236, 0.236)
Ga (0.486, 0.486, 0.014)
Ga (0.236, 0.764, 0.764)
Ga (0.014, 0.486, 0.014)
Ga (0.236, 0.236, 0.764)
Ga (0.764, 0.764, 0.236)
Ga (0.764, 0.236, 0.764)
Ga (0.236, 0.764, 0.236)
Ga (0.486, 0.014, 0.014)
Pm (0.500, 0.500, 0.500)
Pm (0.750, 0.750, 0.750)

Output
Density in g/cm3: 6.3
Size of the total moment in Bohr magnetons per cell: 0.00
Formation energy from the elements in eV per atom: -0.06
SG: Fd-3m
Final energy in eV/atom: -4.24

> Look up the final energy of the ninth one.

-3.33 eV/atom

> What is the density in the ninth record?

5.1 g/cm3

> What is the final energy in the fifth record?

-5.84 eV/atom